1.
Computed, not measured: a relaxed structure of CaPr2CdN at the PBE level of DFT.

a b c (Å): 5.1091 5.1091 4.9036
angles (deg): 90.00 90.00 90.00
Space group P4/mmm (No. 123)
Inequivalent atoms, fractional coordinates:
Ca (0.0000, 0.0000, 0.0000) (multiplicity 1)
Pr (0.0000, 0.5000, 0.5000) (multiplicity 2)
Cd (0.5000, 0.5000, 0.0000) (multiplicity 1)
N (0.0000, 0.0000, 0.5000) (multiplicity 1)

## Properties
Total DFT energy (no corrections), Ry/atom: -0.3526
Size of the total moment, μB/atom: 0.0000


2.
Computed, not measured: a relaxed structure of Ca2CdPtN at the PBE level of DFT.

a b c (Å): 5.0582 5.0582 3.9769
angles (deg): 90.00 90.00 90.00
Space group P4/mmm (No. 123)
Inequivalent atoms, fractional coordinates:
Ca (0.0000, 0.5000, 0.0000) (multiplicity 2)
Cd (0.0000, 0.0000, 0.5000) (multiplicity 1)
Pt (0.5000, 0.5000, 0.5000) (multiplicity 1)
N (0.5000, 0.5000, 0.0000) (multiplicity 1)

## Properties
Total DFT energy (no corrections), Ry/atom: -0.3225
Size of the total moment, μB/atom: 0.0001


Number 1: ΔE_f (raw) -3.2 eV/f.u.. Number 2: ΔE_f (raw) -2.7 eV/f.u..